Entry 1:
Here is crystalline Mg2SiTe at its relaxed geometry from Alexandria via LeMat-Bulk. Energies are from PBE.

Results
E above lowest polymorph = 369 meV/atom

a = 7.0767 Å, b = 7.0767 Å, c = 7.0767 Å
α = 90.00°, β = 90.00°, γ = 90.00°
Last column: nearest neighbours and their distance in Å.
Space group F-43m (No. 216)
Inequivalent atoms, fractional coordinates:
Mg 0.0000 0.0000 0.0000 x4  4 Mg 3.06, 4 Te 3.06
Mg 0.2500 0.2500 0.2500 x4  4 Mg 3.06, 4 Si 3.06
Si 0.0000 0.0000 0.5000 x4  4 Te 3.06, 4 Mg 3.06
Te 0.2500 0.2500 0.7500 x4  4 Mg 3.06, 4 Si 3.06

Entry 2:
Here is crystalline MgSi2Te at its relaxed geometry from Alexandria via LeMat-Bulk. Energies are from PBE.

Results
E above lowest polymorph = 324 meV/atom

a = 6.9234 Å, b = 6.9234 Å, c = 6.9234 Å
α = 90.00°, β = 90.00°, γ = 90.00°
Last column: nearest neighbours and their distance in Å.
Space group F-43m (No. 216)
Inequivalent atoms, fractional coordinates:
Mg 0.0000 0.0000 0.0000 x4  4 Te 3.00, 4 Si 3.00
Si 0.0000 0.0000 0.5000 x4  4 Si 3.00, 4 Te 3.00
Si 0.2500 0.2500 0.2500 x4  4 Mg 3.00, 4 Si 3.00
Te 0.2500 0.2500 0.7500 x4  4 Mg 3.00, 4 Si 3.00

Entry 3:
Here is crystalline Mg2Si2Te at its relaxed geometry from Alexandria via LeMat-Bulk. Energies are from PBE.

a = 8.0250 Å, b = 8.0250 Å, c = 3.2627 Å
α = 90.00°, β = 90.00°, γ = 90.00°
Last column: nearest neighbours and their distance in Å.
Space group P4/mbm (No. 127)
Inequivalent atoms, fractional coordinates:
Mg 0.1921 0.3079 0.0000 x4  6 Si 2.83-2.97
Si 0.1040 0.6040 0.5000 x4  1 Si 2.36
Te 0.0000 0.0000 0.5000 x2  2 Te 3.26, 4 Si 3.29, 8 Mg 3.34

no.,final energy (eV per atom),Fermi-level density of states (states/eV/f.u.),ΔE_f (raw) (eV per atom)
1,-2.71,1.92,0.232
2,-3.48,2.10,0.415
3,-3.32,2.26,0.116